Record 1
EuLuCdSn | PBE | optimized geometry

Values from the calculation:
* formation energy: -0.461 eV/atom

Cell: 7.5839 7.5839 7.5839 Å, 90.00 90.00 90.00°
Positions (direct):
Eu  0.0000  0.0000  0.0000
Eu  0.0000  0.5000  0.5000
Eu  0.5000  0.0000  0.5000
Eu  0.5000  0.5000  0.0000
Lu  0.0000  0.0000  0.5000
Lu  0.0000  0.5000  0.0000
Lu  0.5000  0.0000  0.0000
Lu  0.5000  0.5000  0.5000
Cd  0.2500  0.2500  0.2500
Cd  0.2500  0.7500  0.7500
Cd  0.7500  0.2500  0.7500
Cd  0.7500  0.7500  0.2500
Sn  0.2500  0.2500  0.7500
Sn  0.2500  0.7500  0.2500
Sn  0.7500  0.2500  0.2500
Sn  0.7500  0.7500  0.7500

***

Record 2
TbEuLuCd | PBE | optimized geometry

Values from the calculation:
* formation energy: -0.014 eV/atom

Cell: 7.8030 7.8030 7.8030 Å, 90.00 90.00 90.00°
Positions (direct):
Tb  0.0000  0.0000  0.0000
Tb  0.0000  0.5000  0.5000
Tb  0.5000  0.0000  0.5000
Tb  0.5000  0.5000  0.0000
Eu  0.0000  0.0000  0.5000
Eu  0.0000  0.5000  0.0000
Eu  0.5000  0.0000  0.0000
Eu  0.5000  0.5000  0.5000
Lu  0.2500  0.2500  0.7500
Lu  0.2500  0.7500  0.2500
Lu  0.7500  0.2500  0.2500
Lu  0.7500  0.7500  0.7500
Cd  0.2500  0.2500  0.2500
Cd  0.2500  0.7500  0.7500
Cd  0.7500  0.2500  0.7500
Cd  0.7500  0.7500  0.2500

***

Record 3
EuTmLuCd | PBE | optimized geometry

Values from the calculation:
* formation energy: -0.001 eV/atom

Cell: 7.7574 7.7574 7.7574 Å, 90.00 90.00 90.00°
Positions (direct):
Eu  0.0000  0.0000  0.0000
Eu  0.0000  0.5000  0.5000
Eu  0.5000  0.0000  0.5000
Eu  0.5000  0.5000  0.0000
Tm  0.0000  0.0000  0.5000
Tm  0.0000  0.5000  0.0000
Tm  0.5000  0.0000  0.0000
Tm  0.5000  0.5000  0.5000
Lu  0.2500  0.2500  0.2500
Lu  0.2500  0.7500  0.7500
Lu  0.7500  0.2500  0.7500
Lu  0.7500  0.7500  0.2500
Cd  0.2500  0.2500  0.7500
Cd  0.2500  0.7500  0.2500
Cd  0.7500  0.2500  0.2500
Cd  0.7500  0.7500  0.7500

***

Final energy values (in eV/atom) by entry order: -5.389 -5.099 -5.047.